Entry 1:
KHf2SiTe | meta-GGA SCAN | single point on PBEsol structure

Properties
Raw formation energy = 1.169 eV per atom
Space group = P4/mmm, No. 123

abc: 5.235 5.235 5.699
angles: 90.00 90.00 90.00
Positions (direct):
K: 0.000 0.000 0.500
Te: 0.000 0.000 0.000
Hf: 0.000 0.500 0.000
Hf: 0.500 0.000 0.000
Si: 0.500 0.500 0.500


Entry 2:
LiCa3 | meta-GGA SCAN | single point on PBEsol structure

Properties
Distance to the lowest polymorph of the same formula = 0.049 eV/atom
ΔH_f (0 K) = 0.07 eV/atom
Space group = I4/mmm, No. 139

abc: 5.192 5.192 11.385
angles: 103.18 103.18 90.00
Positions (direct):
Ca: 0.000 0.500 0.000
Ca: 0.500 0.000 0.000
Ca: 0.750 0.250 0.500
Ca: 0.250 0.750 0.500
Ca: 0.877 0.877 0.753
Ca: 0.123 0.123 0.247
Li: 0.628 0.628 0.256
Li: 0.372 0.372 0.744


Number 1: calculated total energy -35.019 eV per atom, DOS at the Fermi energy 1.05 states/eV per atom, spin magnetization 0.002 μB per formula unit. Number 2: calculated total energy -7.777 eV per atom, DOS at the Fermi energy 0.84 states/eV per atom, spin magnetization 0.463 μB per formula unit.